Here is a relaxed CdSi3Cl crystal from Alexandria via LeMat-Bulk. Energies are from PBE.

Lattice parameters (Å, degrees): 5.1244 5.1244 5.1244 90.00 90.00 90.00
Last column: nearest neighbours and their distance in Å.
Element x y z (fractional)
Cd1 0.0000 0.0000 0.0000  6 Si 2.56
Si1 0.0000 0.0000 0.5000  2 Cd 2.56
Si2 0.0000 0.5000 0.0000  2 Cd 2.56
Si3 0.5000 0.0000 0.0000  2 Cd 2.56
Cl1 0.5000 0.5000 0.5000  12 Si 3.62

Calculated values
density	2.86	g cm⁻³
Fermi-level density of states	1.08	states/eV/atom
formation energy from raw total energies	1209.0	meV per atom
total moment	0.87	Bohr magnetons per cell